Material: LiLuCoO3
Method: DFT, GGA+U
State: optimized geometry

Computed properties:
E_tot (eV/atom): -6.45

abc: 3.106 4.920 8.770
angles: 90.00 90.00 108.40
Fractional positions:
O: 0.101 0.202 0.250
O: 0.899 0.798 0.750
O: 0.634 0.267 0.594
Lu: 0.000 0.000 0.500
Co: 0.239 0.478 0.751
O: 0.366 0.733 0.094
Co: 0.761 0.522 0.251
Li: 0.507 0.015 0.750
Lu: 0.000 0.000 0.000
Li: 0.493 0.985 0.250
O: 0.633 0.267 0.905
O: 0.366 0.733 0.405